one.
Ag2OsCl | Alexandria via LeMat-Bulk | PBE-GGA | relaxed; space-group type = F-43m; density of states at the Fermi level = 2.1 states/eV/f.u.
1.0
0.0000 3.2837 3.2837
3.2837 0.0000 3.2837
3.2837 3.2837 0.0000
Ag Os Cl
2 1 1
Cartesian
0.0000 0.0000 0.0000 Ag
1.6419 1.6419 1.6419 Ag
4.9256 4.9256 4.9256 Os
3.2837 3.2837 3.2837 Cl


two.
Ag2OsCl | Alexandria via LeMat-Bulk | PBE-GGA | relaxed; space-group type = Cmmm; density of states at the Fermi level = 3.1 states/eV/f.u.
1.0
1.4762 -2.5141 0.0000
1.4762 2.5141 0.0000
0.0000 0.0000 9.2400
Ag Os Cl
2 1 1
Cartesian
0.0000 0.0000 2.2668 Ag
0.0000 0.0000 6.9732 Ag
1.4762 0.0000 4.6200 Os
1.4762 0.0000 0.0000 Cl


Which is the most stable structure? two is the most stable.


one.
Ag2OsCl | Alexandria via LeMat-Bulk | PBE-GGA | relaxed; space-group type = I4/mmm; density of states at the Fermi level = 4.6 states/eV/f.u.
1.0
-1.9416 1.9416 4.6714
1.9416 -1.9416 4.6714
1.9416 1.9416 -4.6714
Ag Os Cl
2 1 1
Cartesian
1.9416 0.0000 2.3357 Ag
0.0000 1.9416 2.3357 Ag
0.0000 0.0000 0.0000 Os
0.0000 0.0000 4.6714 Cl


two.
Ag2OsCl | Alexandria via LeMat-Bulk | PBE-GGA | relaxed; space-group type = Amm2; density of states at the Fermi level = 2.7 states/eV/f.u.
1.0
4.3938 0.0000 0.0000
0.0000 1.4202 5.5323
0.0000 -1.4202 5.5323
Ag Os Cl
2 1 1
Cartesian
0.0000 0.0000 0.0000 Ag
2.1969 0.0000 4.2420 Ag
0.0000 0.0000 8.1311 Os
2.1969 0.0000 7.3031 Cl


three.
Ag2OsCl | Alexandria via LeMat-Bulk | PBE-GGA | relaxed; space-group type = Fm-3m; density of states at the Fermi level = 3.8 states/eV/f.u.
1.0
0.0000 3.3509 3.3509
3.3509 0.0000 3.3509
3.3509 3.3509 0.0000
Ag Os Cl
2 1 1
Cartesian
1.6755 1.6755 1.6755 Ag
5.0264 5.0264 5.0264 Ag
0.0000 0.0000 0.0000 Os
3.3509 3.3509 3.3509 Cl


four.
Ag2OsCl | Alexandria via LeMat-Bulk | PBE-GGA | relaxed; space-group type = I-42d; density of states at the Fermi level = 4.6 states/eV/f.u.
1.0
-3.7702 3.7702 2.6611
3.7702 -3.7702 2.6611
3.7702 3.7702 -2.6611
Ag Os Cl
4 2 2
Cartesian
5.6552 1.8731 -0.6653 Ag
1.8731 1.8851 0.6653 Ag
-1.8851 1.8971 1.9958 Ag
1.8971 1.8851 3.3264 Ag
3.7702 0.0000 1.3305 Os
0.0000 0.0000 2.6611 Os
0.0000 0.0000 0.0000 Cl
0.0000 3.7702 1.3305 Cl


Which is the most stable structure? two is the most stable.


one.
Ag2OsCl | Alexandria via LeMat-Bulk | PBE-GGA | relaxed; space-group type = P4/mmm; density of states at the Fermi level = 4.4 states/eV/f.u.
1.0
2.9210 0.0000 0.0000
0.0000 2.9210 0.0000
0.0000 0.0000 8.1845
Ag Os Cl
2 1 1
Cartesian
0.0000 0.0000 2.0107 Ag
0.0000 0.0000 6.1738 Ag
1.4605 1.4605 0.0000 Os
1.4605 1.4605 4.0923 Cl


two.
Ag2OsCl | Alexandria via LeMat-Bulk | PBE-GGA | relaxed; space-group type = P4/mmm; density of states at the Fermi level = 2.9 states/eV/f.u.
1.0
5.2125 0.0000 0.0000
0.0000 5.2125 0.0000
0.0000 0.0000 2.6947
Ag Os Cl
2 1 1
Cartesian
0.0000 2.6063 0.0000 Ag
2.6063 0.0000 0.0000 Ag
0.0000 0.0000 1.3474 Os
2.6063 2.6063 1.3474 Cl


Which is the most stable structure? one is the most stable.


one.
Ag2OsCl | Alexandria via LeMat-Bulk | PBE-GGA | relaxed; space-group type = Pmmm; density of states at the Fermi level = 2.9 states/eV/f.u.
1.0
2.8306 0.0000 0.0000
0.0000 4.7647 0.0000
0.0000 0.0000 5.0744
Ag Os Cl
2 1 1
Cartesian
0.0000 0.0000 0.0000 Ag
1.4153 2.3823 0.0000 Ag
0.0000 2.3823 2.5372 Os
1.4153 0.0000 2.5372 Cl


two.
Ag2OsCl | Alexandria via LeMat-Bulk | PBE-GGA | relaxed; space-group type = Cmmm; density of states at the Fermi level = 3.0 states/eV/f.u.
1.0
2.7017 -4.5879 0.0000
2.7017 4.5879 0.0000
0.0000 0.0000 2.7625
Ag Os Cl
2 1 1
Cartesian
1.3509 2.2939 0.0000 Ag
1.3509 -2.2939 0.0000 Ag
0.0000 0.0000 1.3813 Os
2.7017 0.0000 1.3813 Cl


three.
Ag2OsCl | Alexandria via LeMat-Bulk | PBE-GGA | relaxed; space-group type = P4/mmm; density of states at the Fermi level = 3.0 states/eV/f.u.
1.0
4.1786 0.0000 0.0000
0.0000 4.1786 0.0000
0.0000 0.0000 4.1607
Ag Os Cl
2 1 1
Cartesian
0.0000 2.0893 0.0000 Ag
2.0893 0.0000 0.0000 Ag
0.0000 0.0000 2.0803 Os
2.0893 2.0893 2.0803 Cl


four.
Ag2OsCl | Alexandria via LeMat-Bulk | PBE-GGA | relaxed; space-group type = Immm; density of states at the Fermi level = 2.2 states/eV/f.u.
1.0
-1.3938 2.0806 6.5296
1.3938 -2.0806 6.5296
1.3938 2.0806 -6.5296
Ag Os Cl
2 1 1
Cartesian
0.0000 0.0000 2.5088 Ag
0.0000 0.0000 10.5504 Ag
1.3938 0.0000 0.0000 Os
0.0000 2.0806 0.0000 Cl


Which is the most stable structure? four is the most stable.


one.
AgOs2Cl | Alexandria via LeMat-Bulk | PBE-GGA | relaxed; space-group type = Cmmm; density of states at the Fermi level = 4.8 states/eV/f.u.
1.0
2.5284 -4.9639 0.0000
2.5284 4.9639 0.0000
0.0000 0.0000 2.7218
Ag Os Cl
1 2 1
Cartesian
0.0000 0.0000 0.0000 Ag
1.2642 2.4819 1.3609 Os
1.2642 -2.4819 1.3609 Os
2.5284 0.0000 0.0000 Cl


two.
AgOs2Cl | Alexandria via LeMat-Bulk | PBE-GGA | relaxed; space-group type = P2/m; density of states at the Fermi level = 5.3 states/eV/f.u.
1.0
2.8658 0.0000 0.0000
0.0000 4.9753 0.0000
-0.2175 0.0000 4.6335
Ag Os Cl
1 2 1
Cartesian
0.0000 0.0000 0.0000 Ag
0.7800 2.4876 1.0929 Os
1.8683 2.4876 3.5406 Os
1.3241 0.0000 2.3168 Cl


Which is the most stable structure? two is the most stable.


one.
AgOs2Cl | Alexandria via LeMat-Bulk | PBE-GGA | relaxed; space-group type = Pmmm; density of states at the Fermi level = 4.7 states/eV/f.u.
1.0
2.7356 0.0000 0.0000
0.0000 4.7658 0.0000
0.0000 0.0000 4.9960
Ag Os Cl
1 2 1
Cartesian
0.0000 0.0000 0.0000 Ag
0.0000 2.3829 2.4980 Os
1.3678 0.0000 2.4980 Os
1.3678 2.3829 0.0000 Cl


two.
AgOs2Cl | Alexandria via LeMat-Bulk | PBE-GGA | relaxed; space-group type = P4/mmm; density of states at the Fermi level = 6.4 states/eV/f.u.
1.0
3.5156 0.0000 0.0000
0.0000 3.5156 0.0000
0.0000 0.0000 7.2579
Ag Os Cl
1 2 1
Cartesian
0.0000 0.0000 0.0000 Ag
0.0000 1.7578 3.6289 Os
1.7578 0.0000 3.6289 Os
1.7578 1.7578 0.0000 Cl


three.
AgOs2Cl | Alexandria via LeMat-Bulk | PBE-GGA | relaxed; space-group type = Cm; density of states at the Fermi level = 2.3 states/eV/f.u.
1.0
3.4454 -1.4270 0.0000
3.4454 1.4270 0.0000
-2.5529 0.0000 7.8128
Ag Os Cl
1 2 1
Cartesian
0.0000 0.0000 0.0000 Ag
-0.4702 0.0000 5.7552 Os
1.4276 0.0000 4.3847 Os
4.5097 0.0000 2.3226 Cl


Which is the most stable structure? three is the most stable.


one.
AgOs2Cl | Alexandria via LeMat-Bulk | PBE-GGA | relaxed; space-group type = Cmm2; density of states at the Fermi level = 4.2 states/eV/f.u.
1.0
1.4083 -2.4976 0.0000
1.4083 2.4976 0.0000
0.0000 0.0000 9.3360
Ag Os Cl
1 2 1
Cartesian
0.0000 0.0000 0.0000 Ag
0.0000 0.0000 4.6909 Os
1.4083 0.0000 6.8228 Os
1.4083 0.0000 2.5696 Cl


two.
AgOs2Cl | Alexandria via LeMat-Bulk | PBE-GGA | relaxed; space-group type = Imm2; density of states at the Fermi level = 4.2 states/eV/f.u.
1.0
-1.4020 2.4607 4.8366
1.4020 -2.4607 4.8366
1.4020 2.4607 -4.8366
Ag Os Cl
1 2 1
Cartesian
0.0000 0.0000 0.0000 Ag
0.0000 0.0000 4.9433 Os
0.0000 2.4607 2.1885 Os
1.4020 0.0000 2.7826 Cl


Which is the most stable structure? one is the most stable.


one.
AgOs2Cl | Alexandria via LeMat-Bulk | PBE-GGA | relaxed; space-group type = Fm-3m; density of states at the Fermi level = 5.4 states/eV/f.u.
1.0
0.0000 3.1403 3.1403
3.1403 0.0000 3.1403
3.1403 3.1403 0.0000
Ag Os Cl
1 2 1
Cartesian
0.0000 0.0000 0.0000 Ag
1.5701 1.5701 1.5701 Os
4.7104 4.7104 4.7104 Os
3.1403 3.1403 3.1403 Cl


two.
AgOs2Cl | Alexandria via LeMat-Bulk | PBE-GGA | relaxed; space-group type = P4mm; density of states at the Fermi level = 2.9 states/eV/f.u.
1.0
2.8863 0.0000 0.0000
0.0000 2.8863 0.0000
0.0000 0.0000 8.2437
Ag Os Cl
1 2 1
Cartesian
0.0000 0.0000 0.0000 Ag
0.0000 0.0000 4.5822 Os
1.4431 1.4431 6.1499 Os
1.4431 1.4431 2.7339 Cl


three.
AgOs2Cl | Alexandria via LeMat-Bulk | PBE-GGA | relaxed; space-group type = Cmmm; density of states at the Fermi level = 3.7 states/eV/f.u.
1.0
1.3738 -2.4532 0.0000
1.3738 2.4532 0.0000
0.0000 0.0000 9.3301
Ag Os Cl
1 2 1
Cartesian
0.0000 0.0000 0.0000 Ag
1.3738 0.0000 2.4718 Os
1.3738 0.0000 6.8583 Os
0.0000 0.0000 4.6650 Cl


four.
AgOs2Cl | Alexandria via LeMat-Bulk | PBE-GGA | relaxed; space-group type = I4/mmm; density of states at the Fermi level = 4.1 states/eV/f.u.
1.0
-1.7574 1.7574 7.2601
1.7574 -1.7574 7.2601
1.7574 1.7574 -7.2601
Ag Os Cl
1 2 1
Cartesian
0.0000 0.0000 0.0000 Ag
1.7574 0.0000 3.6300 Os
0.0000 1.7574 3.6300 Os
0.0000 0.0000 7.2601 Cl


Which is the most stable structure? two is the most stable.


one.
AgOs2Cl | Alexandria via LeMat-Bulk | PBE-GGA | relaxed; space-group type = Pm; density of states at the Fermi level = 3.2 states/eV/f.u.
1.0
2.8979 0.0000 0.0000
0.0000 2.8994 0.0000
-0.0426 0.0000 8.2873
Ag Os Cl
1 2 1
Cartesian
0.0000 0.0000 0.0000 Ag
1.4052 1.4497 6.1935 Os
2.8544 0.0000 4.6345 Os
2.8540 1.4497 2.6458 Cl


two.
AgOs2Cl | Alexandria via LeMat-Bulk | PBE-GGA | relaxed; space-group type = P4/mmm; density of states at the Fermi level = 5.4 states/eV/f.u.
1.0
2.7177 0.0000 0.0000
0.0000 2.7177 0.0000
0.0000 0.0000 8.5783
Ag Os Cl
1 2 1
Cartesian
0.0000 0.0000 0.0000 Ag
1.3589 1.3589 2.1982 Os
1.3589 1.3589 6.3801 Os
0.0000 0.0000 4.2891 Cl


three.
AgOs2Cl | Alexandria via LeMat-Bulk | PBE-GGA | relaxed; space-group type = R-3m; density of states at the Fermi level = 2.8 states/eV/f.u.
1.0
1.4080 0.8129 8.9076
-1.4080 0.8129 8.9076
0.0000 -1.6259 8.9076
Ag Os Cl
1 2 1
Cartesian
0.0000 0.0000 0.0000 Ag
0.0000 0.0000 6.5417 Os
0.0000 0.0000 20.1810 Os
0.0000 0.0000 13.3613 Cl


Which is the most stable structure? one is the most stable.


one.
AgOsCl4 | Alexandria via LeMat-Bulk | PBE-GGA | relaxed; space-group type = P222; density of states at the Fermi level = 2.3 states/eV/f.u.
1.0
7.3222 0.0000 0.0000
0.0000 7.4755 0.0000
0.0000 0.0000 7.5729
Ag Os Cl
2 2 8
Cartesian
0.0000 0.0000 0.0000 Ag
3.6611 3.7377 0.0000 Ag
0.0000 0.0000 3.7865 Os
3.6611 0.0000 0.0000 Os
0.0117 1.6196 2.1713 Cl
0.0117 5.8559 5.4016 Cl
3.6498 1.6156 5.9520 Cl
3.6498 5.8599 1.6209 Cl
3.6724 1.6156 1.6209 Cl
3.6724 5.8599 5.9520 Cl
7.3105 1.6196 5.4016 Cl
7.3105 5.8559 2.1713 Cl


two.
AgOsCl4 | Alexandria via LeMat-Bulk | PBE-GGA | relaxed; space-group type = F-43m; density of states at the Fermi level = 7.9 states/eV/f.u.
1.0
0.0000 4.1146 4.1146
4.1146 0.0000 4.1146
4.1146 4.1146 0.0000
Ag Os Cl
1 1 4
Cartesian
0.0000 0.0000 0.0000 Ag
2.0573 2.0573 2.0573 Os
5.1410 3.0882 3.0882 Cl
3.0882 5.1410 3.0882 Cl
3.0882 3.0882 5.1410 Cl
5.1410 5.1410 5.1410 Cl


Which is the most stable structure? one is the most stable.


one.
AgP2OsCl | Alexandria via LeMat-Bulk | PBE-GGA | relaxed; space-group type = P4/mmm; density of states at the Fermi level = 4.4 states/eV/f.u.
1.0
4.7934 0.0000 0.0000
0.0000 4.7934 0.0000
0.0000 0.0000 4.7408
Ag P Os Cl
1 2 1 1
Cartesian
0.0000 0.0000 0.0000 Ag
0.0000 2.3967 0.0000 P
2.3967 0.0000 0.0000 P
2.3967 2.3967 2.3704 Os
0.0000 0.0000 2.3704 Cl


two.
AgP2OsCl | Alexandria via LeMat-Bulk | PBE-GGA | relaxed; space-group type = P4/mmm; density of states at the Fermi level = 4.8 states/eV/f.u.
1.0
4.4918 0.0000 0.0000
0.0000 4.4918 0.0000
0.0000 0.0000 5.4093
Ag P Os Cl
1 2 1 1
Cartesian
0.0000 0.0000 0.0000 Ag
0.0000 2.2459 2.7047 P
2.2459 0.0000 2.7047 P
2.2459 2.2459 2.7047 Os
2.2459 2.2459 0.0000 Cl


Which is the most stable structure? two is the most stable.